# TiC3

A relaxed TiC3 crystal (PBE-GGA, Alexandria via LeMat-Bulk).

Geometry as POSCAR:
```
TiC3
1.0
2.6207 0.0000 0.0000
-1.3104 4.6139 0.0000
0.0000 0.0000 4.1002
Ti C
1 3
Cartesian
0.0000 0.0000 0.0000
0.0000 0.0000 2.0501
0.6552 2.3070 0.0000
-0.6552 2.3070 0.0000
```

Calculated values
- DFT formation energy (eV per atom) = 1.376
- volume (Å³/atom) = 12.4